[1]
VASP calculation (GGA-PBE) on a relaxed Os4RuPt crystal.

Cell and atoms, written as POSCAR:
```
Os4RuPt
1.0
0.0000 3.6075 3.6075
3.6075 0.0000 3.6075
3.6075 3.6075 0.0000
Os Ru Pt
4 1 1
Direct
0.1250 0.1250 0.1250 Os
0.1250 0.1250 0.6249 Os
0.1250 0.6249 0.1250 Os
0.6249 0.1250 0.1250 Os
0.5000 0.5000 0.5000 Ru
0.7500 0.7500 0.7500 Pt
```

Values from the calculation:
The formation energy comes out at 0.80 eV/atom. As for the space group: F-43m. For the total energy, the calculation gives -9.24 eV per atom. The total moment comes out at 0.00 μB/f.u.

[2]
VASP calculation (GGA-PBE) on a relaxed Os2RuPt crystal.

Cell and atoms, written as POSCAR:
```
Os2RuPt
1.0
1.3673 0.7894 9.0152
-1.3673 0.7894 9.0152
0.0000 -1.5788 9.0152
Os Ru Pt
2 1 1
Direct
0.0000 0.0000 0.0000 Os
0.2536 0.2536 0.2536 Os
0.5073 0.5073 0.5073 Ru
0.7539 0.7539 0.7539 Pt
```

Values from the calculation:
The formation energy comes out at 0.10 eV/atom. As for the space group: R3m. For the total energy, the calculation gives -9.35 eV per atom. The total moment comes out at 0.00 μB/f.u. As for the offset from the most stable computed form: 0.06 eV/f.u.

[3]
VASP calculation (GGA-PBE) on a relaxed Os2RuPt crystal.

Cell and atoms, written as POSCAR:
```
Os2RuPt
1.0
0.0000 3.1089 3.1089
3.1089 0.0000 3.1089
3.1089 3.1089 0.0000
Os Ru Pt
2 1 1
Direct
0.2500 0.2500 0.2500 Os
0.7500 0.7500 0.7500 Os
0.0000 0.0000 0.0000 Ru
0.5000 0.5000 0.5000 Pt
```

Values from the calculation:
The formation energy comes out at 0.69 eV/atom. As for the space group: Fm-3m. For the total energy, the calculation gives -8.75 eV per atom. The total moment comes out at 1.89 μB/f.u. As for the offset from the most stable computed form: 2.45 eV/f.u.

[4]
VASP calculation (GGA-PBE) on a relaxed Os2RuPt crystal.

Cell and atoms, written as POSCAR:
```
Os2RuPt
1.0
4.5504 -1.3615 0.0000
4.5504 1.3615 0.0000
-0.7938 0.0000 4.6871
Os Ru Pt
2 1 1
Direct
0.0000 0.0000 0.0000 Os
0.7455 0.7455 0.2326 Os
0.2547 0.2547 0.7594 Ru
0.4990 0.4990 0.4987 Pt
```

Values from the calculation:
The formation energy comes out at 0.11 eV/atom. As for the space group: Cm. For the total energy, the calculation gives -9.33 eV per atom. The total moment comes out at 0.00 μB/f.u. As for the offset from the most stable computed form: 0.12 eV/f.u.

[5]
VASP calculation (GGA-PBE) on a relaxed Os2RuPt crystal.

Cell and atoms, written as POSCAR:
```
Os2RuPt
1.0
0.0000 3.1076 3.1076
3.1076 0.0000 3.1076
3.1076 3.1076 0.0000
Os Ru Pt
2 1 1
Direct
0.0000 0.0000 0.0000 Os
0.2500 0.2500 0.2500 Os
0.5000 0.5000 0.5000 Ru
0.7500 0.7500 0.7500 Pt
```

Values from the calculation:
The formation energy comes out at 0.65 eV/atom. As for the space group: F-43m. For the total energy, the calculation gives -8.79 eV per atom. The total moment comes out at 1.61 μB/f.u. As for the offset from the most stable computed form: 2.27 eV/f.u.

[6]
VASP calculation (GGA-PBE) on a relaxed Os2RuPt crystal.

Cell and atoms, written as POSCAR:
```
Os2RuPt
1.0
2.7305 0.0000 0.0000
0.0000 2.7305 0.0000
0.0000 0.0000 7.8005
Os Ru Pt
2 1 1
Direct
0.0000 0.0000 0.0000 Os
0.5000 0.5000 0.2408 Os
0.5000 0.5000 0.7588 Ru
0.0000 0.0000 0.4994 Pt
```

Values from the calculation:
The formation energy comes out at 0.10 eV/atom. As for the space group: P4mm. For the total energy, the calculation gives -9.35 eV per atom. The total moment comes out at 0.00 μB/f.u. As for the offset from the most stable computed form: 0.06 eV/f.u.

[7]
VASP calculation (GGA-PBE) on a relaxed OsRu2Pt crystal.

Cell and atoms, written as POSCAR:
```
OsRu2Pt
1.0
0.0000 3.1019 3.1019
3.1019 0.0000 3.1019
3.1019 3.1019 0.0000
Os Ru Pt
1 2 1
Direct
0.0000 0.0000 0.0000 Os
0.5000 0.5000 0.5000 Ru
0.7500 0.7500 0.7500 Ru
0.2500 0.2500 0.2500 Pt
```

Values from the calculation:
The formation energy comes out at 0.57 eV/atom. As for the space group: F-43m. For the total energy, the calculation gives -8.38 eV per atom. The total moment comes out at 1.80 μB/f.u. As for the offset from the most stable computed form: 2.12 eV/f.u.

[8]
VASP calculation (GGA-PBE) on a relaxed OsRu2Pt crystal.

Cell and atoms, written as POSCAR:
```
OsRu2Pt
1.0
0.0000 3.0993 3.0993
3.0993 0.0000 3.0993
3.0993 3.0993 0.0000
Os Ru Pt
1 2 1
Direct
0.0000 0.0000 0.0000 Os
0.2500 0.2500 0.2500 Ru
0.7500 0.7500 0.7500 Ru
0.5000 0.5000 0.5000 Pt
```

Values from the calculation:
The formation energy comes out at 0.57 eV/atom. As for the space group: Fm-3m. For the total energy, the calculation gives -8.39 eV per atom. The total moment comes out at 1.41 μB/f.u. As for the offset from the most stable computed form: 2.10 eV/f.u.

[9]
VASP calculation (GGA-PBE) on a relaxed Os2Ru4Pt3 crystal.

Cell and atoms, written as POSCAR:
```
Os2Ru4Pt3
1.0
5.8592 -1.9270 0.0000
5.8592 1.9270 0.0000
-1.9637 0.0000 5.8093
Os Ru Pt
2 4 3
Direct
0.2283 0.2283 0.3402 Os
0.7717 0.7717 0.6598 Os
0.1195 0.1195 0.6666 Ru
0.3266 0.3266 0.0034 Ru
0.6734 0.6734 0.9966 Ru
0.8805 0.8805 0.3334 Ru
0.0000 0.0000 0.0000 Pt
0.4439 0.4439 0.6691 Pt
0.5561 0.5561 0.3309 Pt
```

Values from the calculation:
The formation energy comes out at 0.03 eV/atom. As for the space group: C2/m. For the total energy, the calculation gives -8.60 eV per atom. The total moment comes out at 0.00 μB/f.u.

[10]
VASP calculation (GGA-PBE) on a relaxed Os2RuPt crystal.

Cell and atoms, written as POSCAR:
```
Os2RuPt
1.0
3.8529 0.0000 0.0000
0.0000 3.8529 0.0000
0.0000 0.0000 3.9008
Os Ru Pt
2 1 1
Direct
0.0000 0.5000 0.0000 Os
0.5000 0.0000 0.0000 Os
0.0000 0.0000 0.5000 Ru
0.5000 0.5000 0.5000 Pt
```

Values from the calculation:
The formation energy comes out at 0.16 eV/atom. As for the space group: P4/mmm. For the total energy, the calculation gives -9.29 eV per atom. The total moment comes out at 0.00 μB/f.u. As for the offset from the most stable computed form: 0.30 eV/f.u.

[11]
VASP calculation (GGA-PBE) on a relaxed Os2RuPt crystal.

Cell and atoms, written as POSCAR:
```
Os2RuPt
1.0
-2.8290 2.8290 5.3821
2.8290 -2.8290 5.3821
2.8290 2.8290 -5.3821
Os Ru Pt
4 2 2
Direct
0.1146 0.6250 0.9896 Os
0.3750 0.3646 0.4896 Os
0.6354 0.1250 0.0104 Os
0.8750 0.8854 0.5104 Os
0.0000 0.0000 0.0000 Ru
0.7500 0.2500 0.5000 Ru
0.2500 0.7500 0.5000 Pt
0.5000 0.5000 0.0000 Pt
```

Values from the calculation:
The formation energy comes out at 1.24 eV/atom. As for the space group: I-42d. For the total energy, the calculation gives -8.20 eV per atom. The total moment comes out at 0.00 μB/f.u. As for the offset from the most stable computed form: 4.64 eV/f.u.

[12]
VASP calculation (GGA-PBE) on a relaxed OsRu2Pt crystal.

Cell and atoms, written as POSCAR:
```
OsRu2Pt
1.0
2.7226 0.0000 0.0000
0.0000 3.8817 0.0000
0.0000 0.0000 5.4557
Os Ru Pt
1 2 1
Direct
0.0000 0.0000 0.0000 Os
0.0000 0.0000 0.5203 Ru
0.5000 0.5000 0.7652 Ru
0.5000 0.5000 0.2630 Pt
```

Values from the calculation:
The formation energy comes out at 0.09 eV/atom. As for the space group: Pmm2. For the total energy, the calculation gives -8.87 eV per atom. The total moment comes out at 0.00 μB/f.u. As for the offset from the most stable computed form: 0.17 eV/f.u.

[13]
VASP calculation (GGA-PBE) on a relaxed OsRu2Pt crystal.

Cell and atoms, written as POSCAR:
```
OsRu2Pt
1.0
4.5412 -1.3593 0.0000
4.5412 1.3593 0.0000
-0.8042 0.0000 4.6694
Os Ru Pt
1 2 1
Direct
0.0000 0.0000 0.0000 Os
0.2536 0.2536 0.7650 Ru
0.5072 0.5072 0.5236 Ru
0.7526 0.7526 0.2631 Pt
```

Values from the calculation:
The formation energy comes out at 0.08 eV/atom. As for the space group: Cm. For the total energy, the calculation gives -8.87 eV per atom. The total moment comes out at 0.00 μB/f.u. As for the offset from the most stable computed form: 0.15 eV/f.u.

[14]
VASP calculation (GGA-PBE) on a relaxed OsRuPt4 crystal.

Cell and atoms, written as POSCAR:
```
OsRuPt4
1.0
0.0000 3.6578 3.6578
3.6578 0.0000 3.6578
3.6578 3.6578 0.0000
Os Ru Pt
1 1 4
Direct
0.0000 0.0000 0.0000 Os
0.2500 0.2500 0.2500 Ru
0.1247 0.6251 0.6251 Pt
0.6251 0.1247 0.6251 Pt
0.6251 0.6251 0.1247 Pt
0.6251 0.6251 0.6251 Pt
```

Values from the calculation:
The formation energy comes out at 0.67 eV/atom. As for the space group: F-43m. For the total energy, the calculation gives -6.78 eV per atom. The total moment comes out at 3.29 μB/f.u.